Record 1
A plane-wave DFT calculation with meta-GGA SCAN was carried out for Li3BiH at its PBEsol-relaxed geometry.

The structure in POSCAR format:
```
Li3BiH
1.0
4.203 0.000 0.000
0.000 4.203 0.000
0.000 0.000 4.203
Li Bi H
3 1 1
Direct
0.000 0.000 0.500
0.000 0.500 0.000
0.500 0.000 0.000
0.500 0.500 0.500
0.000 0.000 0.000
```

Calculated values
**E_tot**: -18.282 eV per atom
**Total magnetization**: 0.0 Bohr magnetons per cell
**Density of states at the Fermi level**: 0.3257 states/eV/atom
**ρ**: 5.16 g/cm3
**Crystal system**: cubic
**SG**: No. 221
**E above lowest polymorph**: 0 meV per atom


Record 2
A plane-wave DFT calculation with meta-GGA SCAN was carried out for Li3BiH8O7 at its PBEsol-relaxed geometry.

The structure in POSCAR format:
```
Li3BiH8O7
1.0
6.265 0.000 0.000
2.832 6.216 0.000
0.821 1.001 8.073
Li Bi H O
6 2 16 14
Direct
0.039 0.174 0.370
0.181 0.376 0.586
0.347 0.646 0.399
0.653 0.354 0.601
0.819 0.624 0.414
0.961 0.826 0.630
0.433 0.870 0.680
0.567 0.130 0.320
0.029 0.835 0.274
0.041 0.802 0.974
0.162 0.977 0.104
0.181 0.504 0.254
0.238 0.278 0.009
0.268 0.503 0.020
0.297 0.521 0.757
0.395 0.692 0.086
0.605 0.308 0.914
0.703 0.479 0.243
0.732 0.497 0.980
0.762 0.722 0.991
0.819 0.496 0.746
0.838 0.023 0.896
0.959 0.198 0.026
0.971 0.165 0.726
0.064 0.128 0.620
0.096 0.140 0.104
0.179 0.401 0.353
0.228 0.713 0.114
0.310 0.592 0.642
0.315 0.378 0.953
0.446 0.870 0.419
0.554 0.130 0.581
0.685 0.622 0.047
0.690 0.408 0.358
0.772 0.287 0.886
0.821 0.599 0.647
0.904 0.860 0.896
0.936 0.872 0.380
```

Calculated values
**E_tot**: -9.605 eV per atom
**Total magnetization**: 0.0 Bohr magnetons per cell
**Density of states at the Fermi level**: 0.0000 states/eV/atom
**ρ**: 3.70 g/cm3
**Crystal system**: triclinic
**SG**: No. 2


Record 3
A plane-wave DFT calculation with meta-GGA SCAN was carried out for LiBi2HPd at its PBEsol-relaxed geometry.

The structure in POSCAR format:
```
LiBi2HPd
1.0
5.176 0.000 0.000
0.000 5.176 0.000
0.000 0.000 3.458
Li Bi H Pd
1 2 1 1
Direct
0.000 0.000 0.000
0.000 0.500 0.500
0.500 0.000 0.500
0.500 0.500 0.500
0.500 0.500 0.000
```

Calculated values
**E_tot**: -39.241 eV per atom
**Total magnetization**: 0.0 Bohr magnetons per cell
**Density of states at the Fermi level**: 0.2822 states/eV/atom
**ρ**: 9.54 g/cm3
**Crystal system**: tetragonal
**SG**: No. 123


Record 4
A plane-wave DFT calculation with meta-GGA SCAN was carried out for MgBiHSe2 at its PBEsol-relaxed geometry.

The structure in POSCAR format:
```
MgBiHSe2
1.0
5.496 0.000 0.000
0.000 5.496 0.000
0.000 0.000 3.931
Mg Bi H Se
1 1 1 2
Direct
0.000 0.000 0.000
0.500 0.500 0.500
0.500 0.500 0.000
0.000 0.500 0.500
0.500 0.000 0.500
```

Calculated values
**E_tot**: -25.459 eV per atom
**Total magnetization**: 0.0 Bohr magnetons per cell
**Density of states at the Fermi level**: 0.1141 states/eV/atom
**ρ**: 5.49 g/cm3
**Crystal system**: tetragonal
**SG**: No. 123


Record 5
A plane-wave DFT calculation with meta-GGA SCAN was carried out for MnBiHN2 at its PBEsol-relaxed geometry.

The structure in POSCAR format:
```
MnBiHN2
1.0
3.498 0.000 0.000
0.000 3.498 0.000
0.000 0.000 5.454
Mn Bi H N
1 1 1 2
Direct
0.000 0.000 0.000
0.000 0.000 0.500
0.500 0.500 0.500
0.000 0.500 0.000
0.500 0.000 0.000
```

Calculated values
**E_tot**: -23.072 eV per atom
**Total magnetization**: 0.0 Bohr magnetons per cell
**Density of states at the Fermi level**: 0.6174 states/eV/atom
**ρ**: 7.29 g/cm3
**Crystal system**: tetragonal
**SG**: No. 123


Record 6
A plane-wave DFT calculation with meta-GGA SCAN was carried out for Bi2MoH2 at its PBEsol-relaxed geometry.

The structure in POSCAR format:
```
Bi2MoH2
1.0
7.785 0.000 0.000
0.000 7.785 0.000
0.000 0.000 2.984
Bi Mo H
4 2 4
Direct
0.250 0.250 0.000
0.250 0.750 0.000
0.750 0.250 0.000
0.750 0.750 0.000
0.000 0.000 0.000
0.500 0.500 0.000
0.036 0.464 0.500
0.464 0.964 0.500
0.536 0.036 0.500
0.964 0.536 0.500
```

Calculated values
**E_tot**: -39.126 eV per atom
**Total magnetization**: 0.0 Bohr magnetons per cell
**Density of states at the Fermi level**: 0.5580 states/eV/atom
**ρ**: 9.47 g/cm3
**Crystal system**: tetragonal
**SG**: No. 127


Record 7
A plane-wave DFT calculation with meta-GGA SCAN was carried out for BiH3N at its PBEsol-relaxed geometry.

The structure in POSCAR format:
```
BiH3N
1.0
4.017 0.000 0.000
0.000 4.017 0.000
0.000 0.000 4.017
Bi H N
1 3 1
Direct
0.000 0.000 0.000
0.000 0.000 0.500
0.000 0.500 0.000
0.500 0.000 0.000
0.500 0.500 0.500
```

Calculated values
**E_tot**: -18.306 eV per atom
**Total magnetization**: 2.7 Bohr magnetons per cell
**Density of states at the Fermi level**: 0.2093 states/eV/atom
**ρ**: 5.79 g/cm3
**Crystal system**: cubic
**SG**: No. 221


Record 8
A plane-wave DFT calculation with meta-GGA SCAN was carried out for BiHN3 at its PBEsol-relaxed geometry.

The structure in POSCAR format:
```
BiHN3
1.0
3.601 0.000 0.000
0.000 3.601 0.000
0.000 0.000 3.601
Bi H N
1 1 3
Direct
0.000 0.000 0.000
0.500 0.500 0.500
0.000 0.500 0.500
0.500 0.000 0.500
0.500 0.500 0.000
```

Calculated values
**E_tot**: -19.641 eV per atom
**Total magnetization**: 4.8 Bohr magnetons per cell
**Density of states at the Fermi level**: 0.4206 states/eV/atom
**ρ**: 8.96 g/cm3
**Crystal system**: cubic
**SG**: No. 221


Record 9
A plane-wave DFT calculation with meta-GGA SCAN was carried out for NbBiH2N at its PBEsol-relaxed geometry.

The structure in POSCAR format:
```
NbBiH2N
1.0
3.528 0.000 0.000
0.000 3.528 0.000
0.000 0.000 5.804
Nb Bi H N
1 1 2 1
Direct
0.000 0.000 0.000
0.000 0.000 0.500
0.000 0.500 0.000
0.500 0.000 0.000
0.500 0.500 0.500
```

Calculated values
**E_tot**: -24.638 eV per atom
**Total magnetization**: 2.5 Bohr magnetons per cell
**Density of states at the Fermi level**: 0.5035 states/eV/atom
**ρ**: 7.31 g/cm3
**Crystal system**: tetragonal
**SG**: No. 123


Record 10
A plane-wave DFT calculation with meta-GGA SCAN was carried out for Na3BiH at its PBEsol-relaxed geometry.

The structure in POSCAR format:
```
Na3BiH
1.0
4.789 0.000 0.000
0.000 4.789 0.000
0.000 0.000 4.789
Na Bi H
3 1 1
Direct
0.000 0.000 0.500
0.000 0.500 0.000
0.500 0.000 0.000
0.500 0.500 0.500
0.000 0.000 0.000
```

Calculated values
**E_tot**: -19.222 eV per atom
**Total magnetization**: 0.8 Bohr magnetons per cell
**Density of states at the Fermi level**: 0.4800 states/eV/atom
**ρ**: 4.22 g/cm3
**Crystal system**: cubic
**SG**: No. 221


Record 11
A plane-wave DFT calculation with meta-GGA SCAN was carried out for NaNb2BiH at its PBEsol-relaxed geometry.

The structure in POSCAR format:
```
NaNb2BiH
1.0
5.178 0.000 0.000
0.000 5.178 0.000
0.000 0.000 3.338
Na Nb Bi H
1 2 1 1
Direct
0.000 0.000 0.000
0.000 0.500 0.000
0.500 0.000 0.000
0.500 0.500 0.500
0.000 0.000 0.500
```

Calculated values
**E_tot**: -29.002 eV per atom
**Total magnetization**: 0.0 Bohr magnetons per cell
**Density of states at the Fermi level**: 1.0100 states/eV/atom
**ρ**: 7.77 g/cm3
**Crystal system**: tetragonal
**SG**: No. 123


Record 12
A plane-wave DFT calculation with meta-GGA SCAN was carried out for Nb2BiH at its PBEsol-relaxed geometry.

The structure in POSCAR format:
```
Nb2BiH
1.0
0.000 3.250 3.250
3.250 0.000 3.250
3.250 3.250 0.000
Nb Bi H
2 1 1
Direct
0.250 0.250 0.250
0.750 0.750 0.750
0.000 0.000 0.000
0.500 0.500 0.500
```

Calculated values
**E_tot**: -36.281 eV per atom
**Total magnetization**: 0.0 Bohr magnetons per cell
**Density of states at the Fermi level**: 0.9266 states/eV/atom
**ρ**: 9.57 g/cm3
**Crystal system**: cubic
**SG**: No. 225